Record 1
The following is a PBE calculation of crystalline TbCe2Tc at its relaxed geometry, from Alexandria via LeMat-Bulk.

Structure (extended XYZ):
```
4
Lattice="3.800 0.000 0.000 1.900 3.291 0.000 1.900 1.097 8.918" Properties=species:S:1:pos:R:3 pbc="T T T"
Ce 1.900 1.097 1.627
Ce 5.700 3.291 7.292
Tb 3.800 2.194 4.459
Tc 0.000 0.000 0.000
```

Properties
Symmetry: R-3m
E, eV per atom: -6.570
Density, Mg/m³: 8.0
Total magnetic moment, μB per atom: 0.00
Excess energy over the best structure of this formula in the dataset, meV/atom: 183

Record 2
The following is a PBE calculation of crystalline Ti3PtN at its relaxed geometry, from Alexandria via LeMat-Bulk.

Structure (extended XYZ):
```
10
Lattice="3.351 -1.934 0.000 0.000 3.869 0.000 0.000 0.000 13.757" Properties=species:S:1:pos:R:3 pbc="T T T"
N 0.000 0.000 0.000
N 0.000 0.000 6.879
Ti 0.000 0.000 3.439
Ti 2.234 0.000 6.056
Ti 0.000 0.000 10.318
Ti 1.117 1.934 12.935
Ti 2.234 0.000 0.823
Ti 1.117 1.934 7.701
Pt 2.234 0.000 3.439
Pt 1.117 1.934 10.318
```

Properties
Symmetry: P6_3/mmc
E, eV per atom: -7.610
Density, Mg/m³: 6.6
Formation energy without anion corrections, meV/atom: 0
Total magnetic moment, μB per atom: 0.19

Record 3
The following is a PBE calculation of crystalline TbPrSc2 at its relaxed geometry, from Alexandria via LeMat-Bulk.

Structure (extended XYZ):
```
4
Lattice="-1.935 -1.268 2.588 0.562 -3.219 1.171 6.781 2.439 8.593" Properties=species:S:1:pos:R:3 pbc="T T T"
Tb 2.704 -1.024 6.176
Sc 1.377 -0.499 3.113
Sc 4.032 -1.549 9.239
Pr 0.000 0.000 0.000
```

Properties
Symmetry: R-3m
E, eV per atom: -5.450
Density, Mg/m³: 5.6
Total magnetic moment, μB per atom: 0.00
Excess energy over the best structure of this formula in the dataset, meV/atom: 12

> Number 3 is which compound?

TbPrSc2

> Look up the total magnetic moment of the second one.

0.19 μB per atom